SrEuCrSnO6 after structural relaxation, computed with GGA+U.

Cell: 8.004 8.004 8.004 Å, 90.00 90.00 90.00°
Space group F-43m (No. 216)
Asymmetric unit:
Sr  0.000  0.000  0.000
Eu  0.000  0.000  0.500
Cr  0.250  0.250  0.750
Sn  0.250  0.250  0.250
O  0.005  0.250  0.750

Summary:
**Total energy**: -7.529 eV/atom
**Density**: 6.6 g/cm³